(1)
Computed, not measured: a relaxed Sm4TlTc crystal at the GGA-PBE level of DFT.

```
Sm4TlTc
1.0
6.253 0.288 -1.191
-2.174 7.138 -2.727
0.198 -0.250 7.938
Sm Tl Tc
8 2 2
Cartesian
4.373 4.628 3.526 Sm
-1.704 6.665 -0.433 Sm
3.407 1.520 1.588 Sm
1.275 5.285 -2.051 Sm
3.002 1.890 6.071 Sm
0.870 5.655 2.432 Sm
5.981 0.511 4.453 Sm
-0.095 2.547 0.494 Sm
3.410 4.570 0.398 Tl
0.868 2.605 3.622 Tl
1.760 -0.175 7.635 Tc
2.517 7.351 -3.616 Tc
```

**Energy relative to the elements**: -1.06 eV per formula unit
**Total moment**: 0.00 μB per cell
**SG**: C2/c, No. 15
**Uncorrected energy**: -5.4443 eV per atom

***

(2)
Computed, not measured: a relaxed PrGaCu2Au4 crystal at the GGA-PBE level of DFT.

```
PrGaCu2Au4
1.0
-2.339 -3.617 -1.117
-0.182 -1.307 -4.250
6.356 -6.678 -0.547
Pr Ga Cu Au
1 1 2 4
Cartesian
0.000 0.000 0.000 Pr
1.918 -5.801 -2.957 Ga
2.663 -8.553 -4.472 Cu
1.172 -3.050 -1.442 Cu
4.095 -7.325 -2.581 Au
0.288 -6.890 -4.882 Au
3.547 -4.713 -1.031 Au
-0.259 -4.278 -3.332 Au
```

**Energy relative to the elements**: -2.37 eV per formula unit
**Total moment**: 0.00 μB per cell
**SG**: R-3m, No. 166
**Uncorrected energy**: -3.9345 eV per atom

***

(3)
Computed, not measured: a relaxed InGe crystal at the GGA-PBE level of DFT.

```
InGe
1.0
-2.965 3.333 10.541
3.634 -4.708 2.511
7.977 6.293 0.254
In Ge
16 16
Cartesian
1.788 1.410 0.057 In
6.189 4.883 0.197 In
2.191 -2.535 4.525 In
5.766 0.286 4.639 In
7.593 2.203 1.439 In
4.018 -0.618 1.326 In
4.362 2.966 3.396 In
7.938 5.787 3.510 In
4.294 6.224 5.454 In
0.718 3.403 5.340 In
4.697 2.279 9.922 In
8.272 5.100 10.036 In
2.122 0.723 6.583 In
6.523 4.196 6.723 In
-1.109 1.486 8.540 In
2.467 4.307 8.654 In
1.081 -1.401 0.747 Ge
2.553 -3.307 1.764 Ge
2.897 0.277 3.835 Ge
1.426 2.183 2.818 Ge
6.887 -0.608 2.130 Ge
4.724 2.193 0.635 Ge
8.703 1.069 5.217 Ge
7.231 2.976 4.200 Ge
3.587 3.413 6.144 Ge
5.059 1.506 7.161 Ge
5.403 5.090 9.232 Ge
3.931 6.996 8.215 Ge
1.416 -2.088 7.273 Ge
-0.747 0.713 5.779 Ge
3.232 -0.411 10.361 Ge
1.760 1.496 9.344 Ge
```

**Energy relative to the elements**: 0.31 eV per formula unit
**Total moment**: 0.00 μB per cell
**SG**: Fddd, No. 70
**Uncorrected energy**: -3.5220 eV per atom

***

(4)
Computed, not measured: a relaxed Ac3Sb4Rh4 crystal at the GGA-PBE level of DFT.

```
Ac3Sb4Rh4
1.0
4.572 0.000 -0.736
-0.122 4.434 -0.757
-0.137 0.053 13.710
Ac Sb Rh
3 4 4
Cartesian
1.399 3.805 8.688 Ac
2.914 0.683 3.529 Ac
0.000 0.000 0.000 Ac
3.549 1.374 7.477 Sb
1.856 2.019 11.527 Sb
2.456 2.469 0.690 Sb
0.763 3.114 4.740 Sb
1.043 1.135 6.479 Rh
0.352 2.666 2.187 Rh
3.961 1.821 10.030 Rh
3.269 3.353 5.738 Rh
```

**E_form (uncorrected)**: -881 meV/atom
**Total moment**: 0.00 μB per cell
**SG**: Immm, No. 71
**Uncorrected energy**: -6.1737 eV per atom

***

(5)
Computed, not measured: a relaxed ScBe2Al crystal at the GGA-PBE level of DFT.

```
ScBe2Al
1.0
-0.328 2.189 -3.230
-2.100 -1.535 -0.827
-4.295 2.587 2.190
Sc Be Al
1 2 1
Cartesian
-1.763 1.358 -1.274 Sc
-6.096 1.092 1.359 Be
-3.496 0.486 0.685 Be
-4.960 1.883 -0.593 Al
```

**Energy relative to the elements**: 0.50 eV per formula unit
**Total moment**: 0.10 μB per cell
**SG**: P2/m, No. 10
**Uncorrected energy**: -4.2556 eV per atom

***

(6)
Computed, not measured: a relaxed Np2Ga8Ag crystal at the GGA-PBE level of DFT.

```
Np2Ga8Ag
1.0
-0.014 4.098 1.458
-3.981 0.575 -1.655
-4.557 -3.484 9.749
Np Ag Ga
2 1 8
Cartesian
-1.429 -1.093 3.058 Np
-3.128 -2.391 6.691 Np
0.000 0.000 0.000 Ag
-4.269 -1.454 4.047 Ga
-2.285 0.307 5.603 Ga
-3.427 1.244 2.959 Ga
-5.125 -0.055 6.592 Ga
-2.616 -0.190 0.510 Ga
-0.632 1.571 2.066 Ga
-5.922 -2.718 7.584 Ga
-3.939 -0.957 9.141 Ga
```

**Energy relative to the elements**: -1.61 eV per formula unit
**Total moment**: 7.68 μB per cell
**SG**: P4/mmm, No. 123
**Uncorrected energy**: -4.9602 eV per atom